Record 1
A relaxed La8IrRu3I3 crystal. Source: Alexandria, functional PBE.

## Properties
The formation energy from raw total energies is -0.73 eV/atom. As for the uncorrected energy: -183.32 eV for the cell shown.

Cell: 14.603 8.427 9.662 Å, 90.00 120.31 90.00°
Space group C2/m (No. 12)
Inequivalent atoms, fractional coordinates:
La1 0.024 0.248 0.321 x8
La2 0.228 0.000 0.684 x4
La3 0.228 0.500 0.680 x4
Ir1 0.000 0.500 0.500 x2
Ru1 0.000 0.000 0.500 x2
Ru2 0.250 0.250 0.500 x4
I1 0.000 0.500 0.000 x2
I2 0.250 0.250 0.000 x4

Record 2
A relaxed Ti3As2 crystal. Source: Alexandria, functional PBE.

## Properties
The energy above the most stable polymorph in this dataset is 0.0 meV per atom. Its energy relative to the elements is -439 kJ/mol of formula units. As for the uncorrected energy: -150.14 eV for the cell shown.

Cell: 9.976 3.567 9.395 Å, 90.00 90.00 90.00°
Space group Pnma (No. 62)
Inequivalent atoms, fractional coordinates:
Ti1 0.042 0.250 0.123 x4
Ti2 0.128 0.750 0.572 x4
Ti3 0.214 0.250 0.794 x4
As1 0.029 0.750 0.322 x4
As2 0.195 0.750 0.000 x4

Record 3
A relaxed Pr4HoPb2 crystal. Source: Alexandria, functional PBE.

## Properties
Its energy relative to the elements is -108 kJ/mol of formula units. As for the uncorrected energy: -96.70 eV for the cell shown.

Cell: 5.5961 5.5961 28.2052 Å, 90.00 90.00 120.00°
Space group R-3m (No. 166, hexagonal axes)
Inequivalent atoms, fractional coordinates:
Pr1 0.0000 0.0000 0.1273 x6
Pr2 0.0000 0.0000 0.2769 x6
Ho1 0.0000 0.0000 0.5000 x3
Pb1 0.0000 0.0000 0.3917 x6

Record 4
A relaxed Pr2TmTh crystal. Source: Alexandria, functional PBE.

## Properties
The energy above the most stable polymorph in this dataset is 8.6 meV per atom. Its energy relative to the elements is 16 kJ/mol of formula units. As for the uncorrected energy: -63.86 eV for the cell shown.

Cell: 3.6390 3.6390 35.2362 Å, 90.00 90.00 120.00°
Space group R3m (No. 160, hexagonal axes)
Inequivalent atoms, fractional coordinates:
Pr1 0.0000 0.0000 0.0000 x3
Pr2 0.0000 0.0000 0.1676 x3
Tm1 0.0000 0.0000 0.4175 x3
Th1 0.0000 0.0000 0.5840 x3

Record 5
A relaxed KBaAs4 crystal. Source: Alexandria, functional PBE.

## Properties
Its energy relative to the elements is -224 kJ/mol of formula units. As for the uncorrected energy: -95.76 eV for the cell shown.

Cell: 8.478 8.478 8.478 Å, 90.00 90.00 90.00°
Space group F-43m (No. 216)
Inequivalent atoms, fractional coordinates:
K1 0.000 0.000 0.000 x4
Ba1 0.250 0.250 0.250 x4
As1 0.129 0.129 0.629 x16

Record 6
A relaxed HoV2Ru crystal. Source: Alexandria, functional PBE.

## Properties
Its energy relative to the elements is 83 kJ/mol of formula units. As for the uncorrected energy: -124.93 eV for the cell shown.

Cell: 6.355 6.355 6.355 Å, 90.00 90.00 90.00°
Space group Fm-3m (No. 225)
Inequivalent atoms, fractional coordinates:
Ho1 0.000 0.000 0.000 x4
V1 0.250 0.250 0.250 x8
Ru1 0.000 0.000 0.500 x4

Record 7
A relaxed Ba2BiSeF crystal. Source: Alexandria, functional PBE.

## Properties
The energy above the most stable polymorph in this dataset is 193.8 meV per atom. The formation energy from raw total energies is -1.27 eV/atom. As for the uncorrected energy: -19.43 eV for the cell shown.

Cell: 6.374 6.374 4.449 Å, 90.00 90.00 90.00°
Space group P4/mmm (No. 123)
Inequivalent atoms, fractional coordinates:
Ba1 0.000 0.500 0.000 x2
Bi1 0.000 0.000 0.500 x1
Se1 0.500 0.500 0.000 x1
F1 0.500 0.500 0.500 x1

Record 8
A relaxed Rb2PuO4 crystal. Source: Alexandria, functional PBE.

## Properties
The formation energy from raw total energies is -2.31 eV/atom. As for the uncorrected energy: -104.53 eV for the cell shown.

Cell: 4.357 4.357 14.094 Å, 90.00 90.00 90.00°
Space group I4/mmm (No. 139)
Inequivalent atoms, fractional coordinates:
Rb1 0.000 0.000 0.151 x4
Pu1 0.000 0.000 0.500 x2
O1 0.000 0.000 0.363 x4
O2 0.000 0.500 0.000 x4

Record 9
A relaxed Dy5NpRu6 crystal. Source: Alexandria, functional PBE.

## Properties
Its energy relative to the elements is -392 kJ/mol of formula units. As for the uncorrected energy: -191.34 eV for the cell shown.

Cell: 4.853 6.822 14.189 Å, 90.00 90.00 90.00°
Space group Immm (No. 71)
Inequivalent atoms, fractional coordinates:
Dy1 0.000 0.000 0.000 x2
Dy2 0.000 0.000 0.326 x4
Dy3 0.000 0.500 0.336 x4
Np1 0.000 0.500 0.000 x2
Ru1 0.000 0.228 0.500 x4
Ru2 0.000 0.270 0.154 x8

Record 10
A relaxed Ba2Mg2Hg crystal. Source: Alexandria, functional PBE.

## Properties
The energy above the most stable polymorph in this dataset is 124.9 meV per atom. Its energy relative to the elements is -45 kJ/mol of formula units. As for the uncorrected energy: -15.61 eV for the cell shown.

Cell: 7.856 7.856 5.800 Å, 90.00 90.00 90.00°
Space group P4/mbm (No. 127)
Inequivalent atoms, fractional coordinates:
Ba1 0.178 0.322 0.000 x4
Mg1 0.136 0.636 0.500 x4
Hg1 0.000 0.000 0.500 x2

Record 11
A relaxed Li4DyAs2 crystal. Source: Alexandria, functional PBE.

## Properties
Its energy relative to the elements is -545 kJ/mol of formula units. As for the uncorrected energy: -54.42 eV for the cell shown.

Cell: 7.634 7.634 4.128 Å, 90.00 90.00 90.00°
Space group P4_2/mnm (No. 136)
Inequivalent atoms, fractional coordinates:
Li1 0.098 0.337 0.000 x8
Dy1 0.000 0.000 0.500 x2
As1 0.210 0.790 0.000 x4

Record 12
A relaxed LaPu3Rh2 crystal. Source: Alexandria, functional PBE.

## Properties
Its energy relative to the elements is -176 kJ/mol of formula units. As for the uncorrected energy: -128.90 eV for the cell shown.

Cell: 4.057 8.617 7.849 Å, 90.00 90.00 90.00°
Space group Pmc2_1 (No. 26)
Inequivalent atoms, fractional coordinates:
La1 0.000 0.085 0.000 x2
Pu1 0.000 0.281 0.545 x2
Pu2 0.500 0.222 0.343 x2
Pu3 0.500 0.427 0.901 x2
Rh1 0.000 0.420 0.172 x2
Rh2 0.500 0.123 0.730 x2